# 1
{
  "formula": "Pr3In9Pd2",
  "functional": "PBE-GGA",
  "state": "optimized geometry",
  "sg": "Immm",
  "magnetic_moment_mub_per_fu": 0.0,
  "volume_a3_per_atom": 24.76,
  "e_tot_ev_per_atom": -4.008,
  "lattice": [[-2.333, 5.529, 6.717], [2.333, -5.529, 6.717], [2.333, 5.529, -6.717]],
  "species": ["Pr", "Pr", "Pr", "In", "In", "In", "In", "In", "In", "In", "In", "In", "Pd", "Pd"],
  "frac_coords": [[0.000, 0.000, 0.000], [0.318, 0.318, 0.000], [0.682, 0.682, 0.000], [0.028, 0.657, 0.371], [0.153, 0.871, 0.282], [0.286, 0.657, 0.629], [0.410, 0.129, 0.282], [0.500, 0.000, 0.500], [0.590, 0.871, 0.718], [0.714, 0.343, 0.371], [0.847, 0.129, 0.718], [0.972, 0.343, 0.629], [0.296, 0.500, 0.796], [0.704, 0.500, 0.204]]
}

# 2
{
  "formula": "ScTl2Ru",
  "functional": "PBE-GGA",
  "state": "optimized geometry",
  "sg": "C2/m",
  "magnetic_moment_mub_per_fu": 0.0,
  "volume_a3_per_atom": 20.79,
  "e_above_lowest_polymorph_kj_per_mol_atoms": 14.22,
  "lattice": [[9.691, 0.000, 0.000], [0.000, 3.473, 0.000], [-1.324, 0.000, 4.941]],
  "species": ["Sc", "Sc", "Tl", "Tl", "Tl", "Tl", "Ru", "Ru"],
  "frac_coords": [[0.000, 0.000, 0.000], [0.500, 0.500, 0.000], [0.239, 0.000, 0.734], [0.261, 0.500, 0.266], [0.739, 0.500, 0.734], [0.761, 0.000, 0.266], [0.000, 0.500, 0.500], [0.500, 0.000, 0.500]]
}

# 3
{
  "formula": "YHoEr6",
  "functional": "PBE-GGA",
  "state": "optimized geometry",
  "sg": "P-1",
  "magnetic_moment_mub_per_fu": 0.0,
  "volume_a3_per_atom": 30.75,
  "e_tot_ev_per_atom": -4.777,
  "lattice": [[6.084, 0.000, 0.000], [1.013, 6.012, 0.000], [0.015, 2.074, 6.727]],
  "species": ["Y", "Ho", "Er", "Er", "Er", "Er", "Er", "Er"],
  "frac_coords": [[0.000, 0.000, 0.000], [0.000, 0.000, 0.500], [0.250, 0.499, 0.376], [0.251, 0.499, 0.875], [0.500, 0.000, 0.251], [0.500, 0.000, 0.749], [0.749, 0.501, 0.125], [0.750, 0.501, 0.624]]
}

# 4
{
  "formula": "Pm2Tm2Si3",
  "functional": "PBE-GGA",
  "state": "optimized geometry",
  "sg": "C2/m",
  "magnetic_moment_mub_per_fu": 0.0,
  "e_form_raw_ev_per_atom": -0.43,
  "volume_a3_per_atom": 30.46,
  "lattice": [[14.155, 0.000, 0.000], [0.000, 4.212, 0.000], [-2.271, 0.000, 7.151]],
  "species": ["Pm", "Pm", "Pm", "Pm", "Tm", "Tm", "Tm", "Tm", "Si", "Si", "Si", "Si", "Si", "Si"],
  "frac_coords": [[0.122, 0.000, 0.388], [0.378, 0.500, 0.612], [0.622, 0.500, 0.388], [0.878, 0.000, 0.612], [0.161, 0.500, 0.837], [0.339, 0.000, 0.163], [0.661, 0.000, 0.837], [0.839, 0.500, 0.163], [0.000, 0.500, 0.500], [0.222, 0.500, 0.234], [0.278, 0.000, 0.766], [0.500, 0.000, 0.500], [0.722, 0.000, 0.234], [0.778, 0.500, 0.766]]
}

# 5
{
  "formula": "Ho2ThNi",
  "functional": "PBE-GGA",
  "state": "optimized geometry",
  "sg": "P4/mmm",
  "magnetic_moment_mub_per_fu": 0.0,
  "volume_a3_per_atom": 25.16,
  "e_above_lowest_polymorph_kj_per_mol_atoms": 6.35,
  "lattice": [[3.442, 0.000, 0.000], [0.000, 3.442, 0.000], [0.000, 0.000, 8.494]],
  "species": ["Ho", "Ho", "Th", "Ni"],
  "frac_coords": [[0.000, 0.000, 0.190], [0.000, 0.000, 0.810], [0.500, 0.500, 0.500], [0.500, 0.500, 0.000]]
}

# 6
{
  "formula": "Rb2TlCu",
  "functional": "PBE-GGA",
  "state": "optimized geometry",
  "sg": "I-42d",
  "magnetic_moment_mub_per_fu": 0.0,
  "volume_a3_per_atom": 54.34,
  "e_above_lowest_polymorph_kj_per_mol_atoms": 0.00,
  "lattice": [[13.037, 0.000, 0.000], [0.000, 13.037, 0.000], [0.000, 0.000, 5.115]],
  "species": ["Rb", "Rb", "Rb", "Rb", "Rb", "Rb", "Rb", "Rb", "Tl", "Tl", "Tl", "Tl", "Cu", "Cu", "Cu", "Cu"],
  "frac_coords": [[0.073, 0.250, 0.125], [0.250, 0.573, 0.375], [0.250, 0.927, 0.875], [0.427, 0.250, 0.625], [0.573, 0.750, 0.625], [0.750, 0.073, 0.875], [0.750, 0.427, 0.375], [0.927, 0.750, 0.125], [0.000, 0.000, 0.500], [0.000, 0.500, 0.750], [0.500, 0.000, 0.250], [0.500, 0.500, 0.000], [0.000, 0.000, 0.000], [0.000, 0.500, 0.250], [0.500, 0.000, 0.750], [0.500, 0.500, 0.500]]
}

# 7
{
  "formula": "KTeAu2Se4",
  "functional": "PBE-GGA",
  "state": "optimized geometry",
  "sg": "I222",
  "magnetic_moment_mub_per_fu": 0.0,
  "e_form_raw_ev_per_atom": -0.20,
  "volume_a3_per_atom": 31.63,
  "lattice": [[6.625, 0.000, 0.000], [0.000, 8.387, 0.000], [0.000, 0.000, 9.106]],
  "species": ["K", "K", "Te", "Te", "Au", "Au", "Au", "Au", "Se", "Se", "Se", "Se", "Se", "Se", "Se", "Se"],
  "frac_coords": [[0.000, 0.000, 0.000], [0.500, 0.500, 0.500], [0.000, 0.000, 0.500], [0.500, 0.500, 0.000], [0.000, 0.500, 0.177], [0.000, 0.500, 0.823], [0.500, 0.000, 0.323], [0.500, 0.000, 0.677], [0.215, 0.188, 0.325], [0.215, 0.812, 0.675], [0.285, 0.312, 0.825], [0.285, 0.688, 0.175], [0.715, 0.312, 0.175], [0.715, 0.688, 0.825], [0.785, 0.188, 0.675], [0.785, 0.812, 0.325]]
}

# 8
{
  "formula": "RbCdIn2Hg4",
  "functional": "PBE-GGA",
  "state": "optimized geometry",
  "sg": "R-3m",
  "magnetic_moment_mub_per_fu": 0.0,
  "volume_a3_per_atom": 30.70,
  "e_tot_ev_per_atom": -1.169,
  "lattice": [[2.496, 1.441, 11.381], [-2.496, 1.441, 11.381], [0.000, -2.882, 11.381]],
  "species": ["Rb", "Cd", "In", "In", "Hg", "Hg", "Hg", "Hg"],
  "frac_coords": [[0.000, 0.000, 0.000], [0.500, 0.500, 0.500], [0.234, 0.234, 0.234], [0.766, 0.766, 0.766], [0.134, 0.134, 0.134], [0.399, 0.399, 0.399], [0.601, 0.601, 0.601], [0.866, 0.866, 0.866]]
}

# 9
{
  "formula": "Zn2TeIr",
  "functional": "PBE-GGA",
  "state": "optimized geometry",
  "sg": "P4/mmm",
  "magnetic_moment_mub_per_fu": 0.0,
  "e_form_raw_ev_per_atom": 0.21,
  "volume_a3_per_atom": 17.34,
  "lattice": [[4.142, 0.000, 0.000], [0.000, 4.142, 0.000], [0.000, 0.000, 4.042]],
  "species": ["Zn", "Zn", "Te", "Ir"],
  "frac_coords": [[0.000, 0.500, 0.000], [0.500, 0.000, 0.000], [0.000, 0.000, 0.500], [0.500, 0.500, 0.500]]
}

# 10
{
  "formula": "Na5Ac3",
  "functional": "PBE-GGA",
  "state": "optimized geometry",
  "sg": "Cmmm",
  "magnetic_moment_mub_per_fu": 0.0,
  "volume_a3_per_atom": 41.78,
  "e_tot_ev_per_atom": -2.292,
  "lattice": [[4.047, 0.000, 0.000], [0.000, 6.428, 0.000], [0.000, 0.000, 25.703]],
  "species": ["Na", "Na", "Na", "Na", "Na", "Na", "Na", "Na", "Na", "Na", "Ac", "Ac", "Ac", "Ac", "Ac", "Ac"],
  "frac_coords": [[0.000, 0.000, 0.000], [0.000, 0.000, 0.241], [0.000, 0.000, 0.759], [0.000, 0.500, 0.118], [0.000, 0.500, 0.882], [0.500, 0.000, 0.118], [0.500, 0.000, 0.882], [0.500, 0.500, 0.000], [0.500, 0.500, 0.241], [0.500, 0.500, 0.759], [0.000, 0.000, 0.500], [0.000, 0.500, 0.371], [0.000, 0.500, 0.629], [0.500, 0.000, 0.371], [0.500, 0.000, 0.629], [0.500, 0.500, 0.500]]
}

# 11
{
  "formula": "SrIrPbO6",
  "functional": "PBE-GGA",
  "state": "optimized geometry",
  "sg": "P-31c",
  "magnetic_moment_mub_per_fu": 0.9,
  "e_form_raw_ev_per_atom": -1.26,
  "volume_a3_per_atom": 15.72,
  "lattice": [[5.618, 0.000, 0.000], [-2.809, 4.865, 0.000], [0.000, 0.000, 10.350]],
  "species": ["Sr", "Sr", "Ir", "Ir", "Pb", "Pb", "O", "O", "O", "O", "O", "O", "O", "O", "O", "O", "O", "O"],
  "frac_coords": [[0.000, 0.000, 0.000], [0.000, 0.000, 0.500], [0.333, 0.667, 0.250], [0.667, 0.333, 0.750], [0.333, 0.667, 0.750], [0.667, 0.333, 0.250], [0.044, 0.387, 0.145], [0.044, 0.657, 0.355], [0.343, 0.387, 0.355], [0.343, 0.956, 0.145], [0.387, 0.044, 0.645], [0.387, 0.343, 0.855], [0.613, 0.657, 0.145], [0.613, 0.956, 0.355], [0.657, 0.044, 0.855], [0.657, 0.613, 0.645], [0.956, 0.343, 0.645], [0.956, 0.613, 0.855]]
}

# 12
{
  "formula": "BaLaBe2",
  "functional": "PBE-GGA",
  "state": "optimized geometry",
  "sg": "P4mm",
  "magnetic_moment_mub_per_fu": 0.0,
  "volume_a3_per_atom": 24.18,
  "e_above_lowest_polymorph_kj_per_mol_atoms": 29.00,
  "lattice": [[3.264, 0.000, 0.000], [0.000, 3.264, 0.000], [0.000, 0.000, 9.078]],
  "species": ["Ba", "La", "Be", "Be"],
  "frac_coords": [[0.000, 0.000, 0.000], [0.500, 0.500, 0.598], [0.000, 0.000, 0.361], [0.500, 0.500, 0.273]]
}